First-principles (PBE) data for a geometry-optimized ZnAsSe structure, as listed in Alexandria via LeMat-Bulk.

Output
volume: 60 Å³/f.u.
formation energy (no corrections): 0.1 eV per formula unit

Lattice parameters (Å, degrees): 3.8104 3.8104 4.7535 90.00 90.00 120.00
Closest atoms and distances in Å follow each position.
Space group P3m1 (No. 156)
Inequivalent atoms, fractional coordinates:
1 Zn 0.0000 0.0000 0.0000 [1 per cell]  3 As 2.63, 3 Se 2.63
2 As 0.6667 0.3333 0.3018 [1 per cell]  3 Zn 2.63, 3 Se 2.89
3 Se 0.3333 0.6667 0.6967 [1 per cell]  3 Zn 2.63, 3 As 2.89